<w>
Below is crystalline LiCdBPt2 at its relaxed geometry, with properties calculated at the GGA-PBE level.

a = 4.1446 Å, b = 4.1446 Å, c = 4.6044 Å
α = 90.00°, β = 90.00°, γ = 90.00°
Fractional positions:
B1 0.0000 0.0000 0.0000
Li1 0.5000 0.5000 0.5000
Pt1 0.0000 0.5000 0.0000
Pt2 0.5000 0.0000 0.0000
Cd1 0.0000 0.0000 0.5000

Calculated values
**SG**: P4/mmm
**ρ**: 10.9 g/cm3
**Calculated volume**: 15.82 Å³ per atom

<x>
Below is crystalline LiCdBPt2 at its relaxed geometry, with properties calculated at the GGA-PBE level.

a = 4.1587 Å, b = 4.1587 Å, c = 4.3248 Å
α = 90.00°, β = 90.00°, γ = 90.00°
Fractional positions:
B1 0.0000 0.0000 0.0000
Li1 0.0000 0.0000 0.5000
Pt1 0.0000 0.5000 0.0000
Pt2 0.5000 0.0000 0.0000
Cd1 0.5000 0.5000 0.5000

Calculated values
**SG**: P4/mmm
**ρ**: 11.6 g/cm3
**Calculated volume**: 14.96 Å³ per atom

The most stable of them is <x>.

<w>
Below is crystalline MgCdB at its relaxed geometry, with properties calculated at the GGA-PBE level.

a = 3.1591 Å, b = 3.1591 Å, c = 10.7662 Å
α = 90.00°, β = 90.00°, γ = 120.00°
Fractional positions:
Mg1 0.0000 0.0000 0.6533
Mg2 0.0000 0.0000 0.3467
B1 0.3333 0.6667 0.5013
B2 0.6667 0.3333 0.4987
Cd1 0.3333 0.6667 0.8815
Cd2 0.6667 0.3333 0.1185

Calculated values
**SG**: P-3m1
**ρ**: 5.3 g/cm3
**Calculated volume**: 15.51 Å³ per atom

<x>
Below is crystalline MgCdB at its relaxed geometry, with properties calculated at the GGA-PBE level.

a = 4.0788 Å, b = 3.1264 Å, c = 8.1665 Å
α = 90.00°, β = 90.00°, γ = 90.00°
Fractional positions:
Mg1 0.0000 0.0000 0.9013
Mg2 0.5000 0.5000 0.5282
B1 0.5000 0.5000 0.8159
B2 0.5000 0.0000 0.7590
Cd1 0.5000 0.5000 0.1293
Cd2 0.0000 0.0000 0.3240

Calculated values
**SG**: Pmm2
**ρ**: 4.7 g/cm3
**Calculated volume**: 17.36 Å³ per atom

<y>
Below is crystalline MgCdB at its relaxed geometry, with properties calculated at the GGA-PBE level.

a = 5.4454 Å, b = 3.1200 Å, c = 6.5007 Å
α = 90.00°, β = 97.48°, γ = 90.00°
Fractional positions:
Mg1 0.6074 0.0000 0.0341
Mg2 0.7304 0.5000 0.6123
B1 0.8560 0.5000 0.2787
B2 0.8867 0.0000 0.3461
Cd1 0.2524 0.0000 0.6134
Cd2 0.1252 0.5000 0.0102

Calculated values
**SG**: Pm
**ρ**: 4.5 g/cm3
**Calculated volume**: 18.25 Å³ per atom

The most stable of them is <w>.

<w>
Below is crystalline MgCdB at its relaxed geometry, with properties calculated at the GGA-PBE level.

a = 10.9311 Å, b = 3.1655 Å, c = 5.4773 Å
α = 90.00°, β = 100.22°, γ = 90.00°
Fractional positions:
Mg1 0.6414 0.0000 0.9107
Mg2 0.6414 0.5000 0.4107
Mg3 0.9457 0.0000 0.0170
Mg4 0.9457 0.5000 0.5170
B1 0.7939 0.0000 0.2984
B2 0.7939 0.5000 0.7984
B3 0.7937 0.0000 0.6301
B4 0.7937 0.5000 0.1301
Cd1 0.4127 0.0000 0.4969
Cd2 0.4127 0.5000 0.9969
Cd3 0.1757 0.0000 0.7545
Cd4 0.1757 0.5000 0.2545

Calculated values
**SG**: Cm
**ρ**: 5.3 g/cm3
**Calculated volume**: 15.54 Å³ per atom

<x>
Below is crystalline MgCdB at its relaxed geometry, with properties calculated at the GGA-PBE level.

a = 3.6895 Å, b = 3.1461 Å, c = 8.1587 Å
α = 90.00°, β = 103.48°, γ = 90.00°
Fractional positions:
Mg1 0.9186 0.2500 0.3385
Mg2 0.0814 0.7500 0.6615
B1 0.5211 0.2500 0.5402
B2 0.4789 0.7500 0.4598
Cd1 0.6950 0.2500 0.8873
Cd2 0.3050 0.7500 0.1127

Calculated values
**SG**: P2_1/m
**ρ**: 5.3 g/cm3
**Calculated volume**: 15.35 Å³ per atom

The most stable of them is <w>.

<w>
Below is crystalline MgCdB at its relaxed geometry, with properties calculated at the GGA-PBE level.

a = 10.9361 Å, b = 3.1649 Å, c = 5.4746 Å
α = 90.00°, β = 100.11°, γ = 90.00°
Fractional positions:
Mg1 0.6518 0.0000 0.0522
Mg2 0.3482 0.0000 0.9478
Mg3 0.6518 0.5000 0.5522
Mg4 0.3482 0.5000 0.4478
B1 0.4991 0.0000 0.3330
B2 0.5009 0.0000 0.6670
B3 0.4991 0.5000 0.8330
B4 0.5009 0.5000 0.1670
Cd1 0.8818 0.0000 0.7890
Cd2 0.1182 0.0000 0.2110
Cd3 0.8818 0.5000 0.2890
Cd4 0.1182 0.5000 0.7110

Calculated values
**SG**: C2/m
**ρ**: 5.3 g/cm3
**Calculated volume**: 15.55 Å³ per atom

<x>
Below is crystalline MgCdB at its relaxed geometry, with properties calculated at the GGA-PBE level.

a = 4.4482 Å, b = 4.4709 Å, c = 5.5573 Å
α = 107.81°, β = 99.91°, γ = 92.17°
Fractional positions:
Mg1 0.5514 0.9572 0.3749
Mg2 0.0302 0.4600 0.3675
B1 0.1578 0.6346 0.9974
B2 0.0003 0.8999 0.1876
Cd1 0.6189 0.5980 0.7703
Cd2 0.2001 0.0978 0.8444

Calculated values
**SG**: P1
**ρ**: 4.7 g/cm3
**Calculated volume**: 17.20 Å³ per atom

The most stable of them is <w>.